First-principles (PBE) data for a relaxed structure of In2TcPb, as listed in the Alexandria database.

Results
**Spin magnetization**: 0.75 Bohr magnetons per cell
**Formation energy**: 0.54 eV per atom

Cell lengths 5.4670, 5.4670, 5.4670 Å; angles 132.37, 132.37, 69.64 degrees
Last column: nearest neighbours and their distance in Å.
Sites, in units of the cell vectors:
In 0.2500 0.7500 0.5000  4 Tc 3.12, 4 In 3.15, 4 Pb 3.15
In 0.0000 0.0000 0.0000  4 Pb 3.12, 4 Tc 3.15, 4 In 3.15
Tc 0.7500 0.2500 0.5000  8 In 3.12-3.15, 4 Pb 3.15
Pb 0.5000 0.5000 0.0000  8 In 3.12-3.15, 4 Tc 3.15